[1]
{
  "formula": "LaBr",
  "functional": "GGA-PBE",
  "state": "relaxed",
  "raw_formation_energy_mev_per_atom": -1080,
  "final_energy_ev_per_atom": -4.380,
  "volume_a3_per_cell": 108,
  "crystal_system": "cubic",
  "lattice_angstrom": [[-3.470, 0.597, 1.368], [-2.105, -2.424, -4.284], [0.201, -4.697, 2.559]],
  "species": ["Br", "Br", "La", "La"],
  "frac_coords": [[0.000, 0.000, 0.917], [0.000, 0.500, 0.416], [0.500, 0.000, 0.417], [0.500, 0.500, 0.917]]
}

---

[2]
{
  "formula": "LaBr3",
  "functional": "GGA-PBE",
  "state": "relaxed",
  "raw_formation_energy_mev_per_atom": -1419,
  "final_energy_ev_per_atom": -3.906,
  "volume_a3_per_cell": 133,
  "crystal_system": "hexagonal",
  "lattice_angstrom": [[-1.484, -3.991, -2.177], [4.656, 1.086, 0.087], [0.685, -3.399, 5.765]],
  "species": ["Br", "Br", "Br", "La"],
  "frac_coords": [[0.000, 0.000, 0.980], [0.000, 0.000, 0.520], [0.667, 0.333, 0.250], [0.667, 0.333, 0.750]]
}

---

[3]
{
  "formula": "La2Br",
  "functional": "GGA-PBE",
  "state": "relaxed",
  "raw_formation_energy_mev_per_atom": -737,
  "final_energy_ev_per_atom": -4.579,
  "volume_a3_per_cell": 403,
  "de_polymorph_mev_per_atom": 95,
  "crystal_system": "cubic",
  "lattice_angstrom": [[-1.534, 7.214, -0.398], [-6.542, -1.559, -3.052], [-3.065, -0.281, 6.714]],
  "species": ["Br", "Br", "Br", "Br", "La", "La", "La", "La", "La", "La", "La", "La"],
  "frac_coords": [[0.000, 0.000, 0.000], [0.500, 0.500, 0.000], [0.500, 0.000, 0.500], [0.000, 0.500, 0.500], [0.637, 0.637, 0.363], [0.363, 0.363, 0.637], [0.137, 0.863, 0.637], [0.863, 0.137, 0.363], [0.363, 0.137, 0.137], [0.637, 0.863, 0.863], [0.863, 0.363, 0.863], [0.137, 0.637, 0.137]]
}

---

[4]
{
  "formula": "LaBr",
  "functional": "GGA-PBE",
  "state": "relaxed",
  "raw_formation_energy_mev_per_atom": -1237,
  "final_energy_ev_per_atom": -4.537,
  "volume_a3_per_cell": 190,
  "crystal_system": "monoclinic",
  "lattice_angstrom": [[1.950, 6.518, 0.004], [-1.950, 6.518, 0.004], [0.000, 3.068, 7.486]],
  "species": ["La", "La", "La", "Br", "Br", "Br"],
  "frac_coords": [[0.343, 0.343, 0.345], [0.065, 0.065, 0.416], [0.704, 0.704, 0.993], [0.004, 0.004, 0.065], [0.671, 0.671, 0.624], [0.381, 0.381, 0.723]]
}

---

[5]
{
  "formula": "La2Br",
  "functional": "GGA-PBE",
  "state": "relaxed",
  "raw_formation_energy_mev_per_atom": -485,
  "final_energy_ev_per_atom": -4.328,
  "volume_a3_per_cell": 97,
  "de_polymorph_mev_per_atom": 346,
  "crystal_system": "cubic",
  "lattice_angstrom": [[5.160, 0.000, 0.000], [2.580, 4.469, 0.000], [2.580, 1.490, 4.213]],
  "species": ["Br", "La", "La"],
  "frac_coords": [[0.000, 0.000, 0.000], [0.750, 0.750, 0.750], [0.250, 0.250, 0.250]]
}

---

[6]
{
  "formula": "La3Br",
  "functional": "GGA-PBE",
  "state": "relaxed",
  "raw_formation_energy_mev_per_atom": -501,
  "final_energy_ev_per_atom": -4.614,
  "volume_a3_per_cell": 129,
  "de_polymorph_mev_per_atom": 118,
  "crystal_system": "orthorhombic",
  "lattice_angstrom": [[6.334, -0.016, 0.020], [1.617, 6.124, -0.020], [-2.784, -4.605, 3.341]],
  "species": ["Br", "La", "La", "La"],
  "frac_coords": [[0.925, 0.000, 0.925], [0.563, 0.500, 0.063], [0.970, 0.297, 0.673], [0.376, 0.703, 0.673]]
}

---

[7]
{
  "formula": "La2Br",
  "functional": "GGA-PBE",
  "state": "relaxed",
  "raw_formation_energy_mev_per_atom": -773,
  "final_energy_ev_per_atom": -4.616,
  "volume_a3_per_cell": 200,
  "de_polymorph_mev_per_atom": 58,
  "crystal_system": "orthorhombic",
  "lattice_angstrom": [[3.815, 0.000, 0.000], [0.000, 6.949, 0.000], [0.000, 0.000, 7.552]],
  "species": ["La", "La", "La", "La", "Br", "Br"],
  "frac_coords": [[0.000, 0.184, 0.645], [0.000, 0.816, 0.355], [0.500, 0.684, 0.855], [0.500, 0.316, 0.145], [0.000, 0.000, 0.000], [0.500, 0.500, 0.500]]
}

---

[8]
{
  "formula": "LaBr3",
  "functional": "GGA-PBE",
  "state": "relaxed",
  "raw_formation_energy_mev_per_atom": -1600,
  "final_energy_ev_per_atom": -4.086,
  "volume_a3_per_cell": 127,
  "crystal_system": "trigonal",
  "lattice_angstrom": [[6.481, -0.023, -0.015], [4.537, 4.628, -0.015], [4.537, 1.896, 4.222]],
  "species": ["Br", "Br", "Br", "La"],
  "frac_coords": [[0.722, 0.722, 0.722], [0.500, 0.500, 0.500], [0.278, 0.278, 0.278], [0.000, 0.000, 0.000]]
}

---

[9]
{
  "formula": "LaBr",
  "functional": "GGA-PBE",
  "state": "relaxed",
  "raw_formation_energy_mev_per_atom": -1228,
  "final_energy_ev_per_atom": -4.528,
  "volume_a3_per_cell": 459,
  "crystal_system": "orthorhombic",
  "lattice_angstrom": [[6.133, 0.000, 0.000], [0.000, 6.136, 0.000], [0.000, 0.000, 12.184]],
  "species": ["La", "La", "La", "La", "La", "La", "La", "La", "Br", "Br", "Br", "Br", "Br", "Br", "Br", "Br"],
  "frac_coords": [[0.749, 0.041, 0.499], [0.249, 0.459, 0.501], [0.251, 0.541, 0.001], [0.751, 0.959, 0.999], [0.210, 0.002, 0.250], [0.710, 0.498, 0.750], [0.790, 0.502, 0.250], [0.290, 0.998, 0.750], [0.249, 0.959, 0.500], [0.749, 0.540, 0.500], [0.751, 0.460, 0.000], [0.251, 0.040, 0.000], [0.289, 0.502, 0.251], [0.789, 0.998, 0.749], [0.711, 0.002, 0.249], [0.211, 0.498, 0.751]]
}

---

[10]
{
  "formula": "LaBr4",
  "functional": "GGA-PBE",
  "state": "relaxed",
  "raw_formation_energy_mev_per_atom": -1356,
  "final_energy_ev_per_atom": -3.680,
  "volume_a3_per_cell": 177,
  "crystal_system": "cubic",
  "lattice_angstrom": [[-3.535, 3.535, 3.535], [3.535, -3.535, 3.535], [3.535, 3.535, -3.535]],
  "species": ["La", "Br", "Br", "Br", "Br"],
  "frac_coords": [[0.000, 0.000, 0.000], [0.500, 0.000, 0.000], [0.500, 0.500, 0.500], [0.000, 0.500, 0.000], [0.000, 0.000, 0.500]]
}

---

[11]
{
  "formula": "La3Br",
  "functional": "GGA-PBE",
  "state": "relaxed",
  "raw_formation_energy_mev_per_atom": -500,
  "final_energy_ev_per_atom": -4.614,
  "volume_a3_per_cell": 138,
  "de_polymorph_mev_per_atom": 118,
  "crystal_system": "orthorhombic",
  "lattice_angstrom": [[3.733, 0.016, 0.000], [-1.722, 3.312, 0.000], [0.000, 0.000, 11.145]],
  "species": ["Br", "La", "La", "La"],
  "frac_coords": [[0.000, 0.000, 0.000], [0.500, 0.500, 0.773], [0.000, 0.000, 0.500], [0.500, 0.500, 0.227]]
}

---

[12]
{
  "formula": "LaBr3",
  "functional": "GGA-PBE",
  "state": "relaxed",
  "raw_formation_energy_mev_per_atom": -1947,
  "final_energy_ev_per_atom": -4.433,
  "volume_a3_per_cell": 513,
  "crystal_system": "orthorhombic",
  "lattice_angstrom": [[-4.989, -3.096, -3.350], [-2.089, -3.664, 6.498], [-6.062, 7.377, 2.211]],
  "species": ["Br", "Br", "Br", "Br", "Br", "Br", "Br", "Br", "Br", "Br", "Br", "Br", "La", "La", "La", "La"],
  "frac_coords": [[0.151, 0.038, 0.750], [0.651, 0.462, 0.250], [0.349, 0.538, 0.750], [0.849, 0.962, 0.250], [0.666, 0.168, 0.933], [0.166, 0.332, 0.067], [0.834, 0.668, 0.567], [0.334, 0.832, 0.433], [0.334, 0.832, 0.067], [0.834, 0.668, 0.933], [0.166, 0.332, 0.433], [0.666, 0.168, 0.567], [0.548, 0.874, 0.750], [0.048, 0.626, 0.250], [0.952, 0.374, 0.750], [0.452, 0.126, 0.250]]
}